Entry 1:
A relaxed structure of CaAcTbAl. Source: the Alexandria database, functional PBE-GGA.

The structure in CIF format:
```
data_CaAcTbAl
_symmetry_space_group_name_H-M 'F -4 3 m'
_symmetry_Int_Tables_number 216
_symmetry_space_group_name_Hall 'F -4 2 3'
_cell_length_a 7.953
_cell_length_b 7.953
_cell_length_c 7.953
_cell_angle_alpha 90.00
_cell_angle_beta 90.00
_cell_angle_gamma 90.00
loop_
_atom_site_label
_atom_site_type_symbol
_atom_site_fract_x
_atom_site_fract_y
_atom_site_fract_z
Ca1 Ca 0.000 0.000 0.000
Ac1 Ac 0.250 0.250 0.250
Tb1 Tb 0.250 0.250 0.750
Al1 Al 0.000 0.000 0.500
```


Entry 2:
A relaxed structure of CaAcAlTl. Source: the Alexandria database, functional PBE-GGA.

The structure in CIF format:
```
data_CaAcAlTl
_symmetry_space_group_name_H-M 'F -4 3 m'
_symmetry_Int_Tables_number 216
_symmetry_space_group_name_Hall 'F -4 2 3'
_cell_length_a 7.904
_cell_length_b 7.904
_cell_length_c 7.904
_cell_angle_alpha 90.00
_cell_angle_beta 90.00
_cell_angle_gamma 90.00
loop_
_atom_site_label
_atom_site_type_symbol
_atom_site_fract_x
_atom_site_fract_y
_atom_site_fract_z
Ca1 Ca 0.000 0.000 0.000
Ac1 Ac 0.000 0.000 0.500
Al1 Al 0.250 0.250 0.250
Tl1 Tl 0.250 0.250 0.750
```


What did we get for N(E_F)? Answer: 2.94 3.12 states/eV/f.u., in the order shown.
What did we get for formation enthalpy at 0 K? Answer: -0.06 -1.16 eV/f.u., in the order shown.